Record 1
# Dy7Rh3, optimized geometry, DFT PBE
# Uncorrected energy: -6.05 eV/atom
# Energy of formation from the pure elements: -6.24 eV per formula unit
data_Dy7Rh3
_chemical_formula_sum 'Dy14 Rh6'
_space_group_name_H-M_alt 'P 63 m c'
_space_group_IT_number 186
_space_group_name_Hall 'P 6c -2c'
_cell_length_a 9.7942
_cell_length_b 9.7942
_cell_length_c 6.1691
_cell_angle_alpha 90.00
_cell_angle_beta 90.00
_cell_angle_gamma 120.00
loop_
_atom_site_label
_atom_site_type_symbol
_atom_site_fract_x
_atom_site_fract_y
_atom_site_fract_z
Dy1 Dy 0.0823 0.5412 0.0000
Dy2 Dy 0.1235 0.2471 0.6941
Dy3 Dy 0.3333 0.6667 0.4878
Rh1 Rh 0.1898 0.3797 0.2638

=====

Record 2
# DyRh4, optimized geometry, DFT PBE
# Uncorrected energy: -7.03 eV/atom
# Energy of formation from the pure elements: -1.13 eV per formula unit
data_DyRh4
_chemical_formula_sum 'Dy8 Rh32'
_space_group_name_H-M_alt 'I -4 3 m'
_space_group_IT_number 217
_space_group_name_Hall 'I -4 2 3'
_cell_length_a 8.9209
_cell_length_b 8.9209
_cell_length_c 8.9209
_cell_angle_alpha 90.00
_cell_angle_beta 90.00
_cell_angle_gamma 90.00
loop_
_atom_site_label
_atom_site_type_symbol
_atom_site_fract_x
_atom_site_fract_y
_atom_site_fract_z
Dy1 Dy 0.2225 0.2225 0.7775
Rh1 Rh 0.0000 0.0000 0.3534
Rh2 Rh 0.0000 0.2500 0.5000
Rh3 Rh 0.1034 0.1034 0.1034

=====

Record 3
# Dy4Rh, optimized geometry, DFT PBE
# Uncorrected energy: -5.51 eV/atom
# Energy of formation from the pure elements: -1.78 eV per formula unit
data_Dy4Rh
_chemical_formula_sum 'Dy16 Rh4'
_space_group_name_H-M_alt 'I -4 2 d'
_space_group_IT_number 122
_space_group_name_Hall 'I -4 2bw'
_cell_length_a 8.5747
_cell_length_b 8.5747
_cell_length_c 7.9694
_cell_angle_alpha 90.00
_cell_angle_beta 90.00
_cell_angle_gamma 90.00
loop_
_atom_site_label
_atom_site_type_symbol
_atom_site_fract_x
_atom_site_fract_y
_atom_site_fract_z
Dy1 Dy 0.0255 0.6994 0.4142
Rh1 Rh 0.0000 0.0000 0.5000

=====

Record 4
# Dy3Rh2, optimized geometry, DFT PBE
# Uncorrected energy: -6.39 eV/atom
# Energy of formation from the pure elements: -3.44 eV per formula unit
data_Dy3Rh2
_chemical_formula_sum 'Dy18 Rh12'
_space_group_name_H-M_alt 'C 1 2/m 1'
_space_group_IT_number 12
_cell_length_a 17.1493
_cell_length_b 4.2496
_cell_length_c 10.4122
_cell_angle_alpha 90.00
_cell_angle_beta 96.92
_cell_angle_gamma 90.00
loop_
_space_group_symop_operation_xyz
'x,y,z'
'-x,-y,-z'
'-x,y,-z'
'x,-y,z'
'x+1/2,y+1/2,z'
'-x+1/2,-y+1/2,-z'
'-x+1/2,y+1/2,-z'
'x+1/2,-y+1/2,z'
loop_
_atom_site_label
_atom_site_type_symbol
_atom_site_fract_x
_atom_site_fract_y
_atom_site_fract_z
Dy1 Dy 0.0000 0.0000 0.0000
Dy2 Dy 0.0366 0.0000 0.6617
Dy3 Dy 0.1251 0.5000 0.2838
Dy4 Dy 0.1731 0.5000 0.9592
Dy5 Dy 0.2071 0.5000 0.6216
Rh1 Rh 0.0282 0.5000 0.8280
Rh2 Rh 0.1387 0.0000 0.4673
Rh3 Rh 0.1781 0.0000 0.1391

=====

Record 5
# Dy3Rh2, optimized geometry, DFT PBE
# Uncorrected energy: -6.38 eV/atom
# Energy of formation from the pure elements: -3.41 eV per formula unit
data_Dy3Rh2
_chemical_formula_sum 'Dy18 Rh12'
_space_group_name_H-M_alt 'R -3 c'
_space_group_IT_number 167
_space_group_name_Hall '-R 3 2"c'
_cell_length_a 6.7886
_cell_length_b 6.7886
_cell_length_c 19.1976
_cell_angle_alpha 90.00
_cell_angle_beta 90.00
_cell_angle_gamma 120.00
loop_
_atom_site_label
_atom_site_type_symbol
_atom_site_fract_x
_atom_site_fract_y
_atom_site_fract_z
Dy1 Dy 0.0000 0.3468 0.2500
Rh1 Rh 0.0000 0.0000 0.1721

=====

Record 6
# Dy5RuRh4, optimized geometry, DFT PBE
# Uncorrected energy: -6.95 eV/atom
# Energy of formation from the pure elements: -7.77 eV per formula unit
data_Dy5RuRh4
_chemical_formula_sum 'Dy5 Ru1 Rh4'
_space_group_name_H-M_alt 'P 4/m m m'
_space_group_IT_number 123
_space_group_name_Hall '-P 4 2'
_cell_length_a 3.4299
_cell_length_b 3.4299
_cell_length_c 16.9970
_cell_angle_alpha 90.00
_cell_angle_beta 90.00
_cell_angle_gamma 90.00
loop_
_atom_site_label
_atom_site_type_symbol
_atom_site_fract_x
_atom_site_fract_y
_atom_site_fract_z
Dy1 Dy 0.0000 0.0000 0.0000
Dy2 Dy 0.0000 0.0000 0.2006
Dy3 Dy 0.0000 0.0000 0.4021
Ru1 Ru 0.5000 0.5000 0.5000
Rh1 Rh 0.5000 0.5000 0.1000
Rh2 Rh 0.5000 0.5000 0.2983

=====

Record 7
# Dy6RuRh5, optimized geometry, DFT PBE
# Uncorrected energy: -6.94 eV/atom
# Energy of formation from the pure elements: -9.61 eV per formula unit
data_Dy6RuRh5
_chemical_formula_sum 'Dy12 Ru2 Rh10'
_space_group_name_H-M_alt 'C m m m'
_space_group_IT_number 65
_space_group_name_Hall '-C 2 2'
_cell_length_a 4.8454
_cell_length_b 14.5462
_cell_length_c 6.8087
_cell_angle_alpha 90.00
_cell_angle_beta 90.00
_cell_angle_gamma 90.00
loop_
_atom_site_label
_atom_site_type_symbol
_atom_site_fract_x
_atom_site_fract_y
_atom_site_fract_z
Dy1 Dy 0.0000 0.0000 0.2484
Dy2 Dy 0.0000 0.3342 0.2490
Ru1 Ru 0.0000 0.5000 0.0000
Rh1 Rh 0.0000 0.1667 0.0000
Rh2 Rh 0.0000 0.1674 0.5000
Rh3 Rh 0.0000 0.5000 0.5000

=====

Record 8
# Dy4RuRh2, optimized geometry, DFT PBE
# Uncorrected energy: -6.65 eV/atom
# Energy of formation from the pure elements: -4.18 eV per formula unit
data_Dy4RuRh2
_chemical_formula_sum 'Dy8 Ru2 Rh4'
_space_group_name_H-M_alt 'I 4/m m m'
_space_group_IT_number 139
_space_group_name_Hall '-I 4 2'
_cell_length_a 6.7796
_cell_length_b 6.7796
_cell_length_c 6.8880
_cell_angle_alpha 90.00
_cell_angle_beta 90.00
_cell_angle_gamma 90.00
loop_
_atom_site_label
_atom_site_type_symbol
_atom_site_fract_x
_atom_site_fract_y
_atom_site_fract_z
Dy1 Dy 0.2500 0.2500 0.2500
Ru1 Ru 0.0000 0.0000 0.0000
Rh1 Rh 0.0000 0.5000 0.0000

=====

Record 9
# Dy3RuRh, optimized geometry, DFT PBE
# Uncorrected energy: -6.61 eV/atom
# Energy of formation from the pure elements: -2.60 eV per formula unit
data_Dy3RuRh
_chemical_formula_sum 'Dy12 Ru4 Rh4'
_space_group_name_H-M_alt 'P 1 21/c 1'
_space_group_IT_number 14
_cell_length_a 8.4617
_cell_length_b 7.3712
_cell_length_c 7.7904
_cell_angle_alpha 90.00
_cell_angle_beta 106.03
_cell_angle_gamma 90.00
loop_
_space_group_symop_operation_xyz
'x,y,z'
'-x,-y,-z'
'-x,y+1/2,-z+1/2'
'x,-y+1/2,z+1/2'
loop_
_atom_site_label
_atom_site_type_symbol
_atom_site_fract_x
_atom_site_fract_y
_atom_site_fract_z
Dy1 Dy 0.0484 0.0009 0.2142
Dy2 Dy 0.2819 0.6514 0.0998
Dy3 Dy 0.3592 0.1923 0.9682
Ru1 Ru 0.0821 0.1815 0.5429
Rh1 Rh 0.4140 0.5425 0.7959

=====

Record 10
# Dy8Ru5Rh, optimized geometry, DFT PBE
# Uncorrected energy: -6.74 eV/atom
# Energy of formation from the pure elements: -3.88 eV per formula unit
data_Dy8Ru5Rh
_chemical_formula_sum 'Dy16 Ru10 Rh2'
_space_group_name_H-M_alt 'I -4'
_space_group_IT_number 82
_cell_length_a 8.5623
_cell_length_b 8.5623
_cell_length_c 8.4710
_cell_angle_alpha 90.00
_cell_angle_beta 90.00
_cell_angle_gamma 90.00
loop_
_space_group_symop_operation_xyz
'x,y,z'
'y,-x,-z'
'-x,-y,z'
'-y,x,-z'
'x+1/2,y+1/2,z+1/2'
'y+1/2,-x+1/2,-z+1/2'
'-x+1/2,-y+1/2,z+1/2'
'-y+1/2,x+1/2,-z+1/2'
loop_
_atom_site_label
_atom_site_type_symbol
_atom_site_fract_x
_atom_site_fract_y
_atom_site_fract_z
Dy1 Dy 0.0497 0.1848 0.2053
Dy2 Dy 0.0816 0.3191 0.5800
Ru1 Ru 0.0000 0.0000 0.5000
Ru2 Ru 0.1450 0.2622 0.9021
Rh1 Rh 0.0000 0.5000 0.2500

=====

Number 1: D(E_F) 13.12 states/eV/cell. Number 2: D(E_F) 53.44 states/eV/cell. Number 3: D(E_F) 24.20 states/eV/cell. Number 4: D(E_F) 15.09 states/eV/cell. Number 5: D(E_F) 16.35 states/eV/cell. Number 6: D(E_F) 5.36 states/eV/cell. Number 7: D(E_F) 9.84 states/eV/cell. Number 8: D(E_F) 5.67 states/eV/cell. Number 9: D(E_F) 9.99 states/eV/cell. Number 10: D(E_F) 17.49 states/eV/cell.